Computed, not measured: LaAl3 at its PBEsol-relaxed geometry at the SCAN level of DFT.

Cell and atoms, written as CIF:
```
data_LaAl3
_chemical_formula_sum 'La2 Al6'
_cell_length_a 5.619
_cell_length_b 5.619
_cell_length_c 5.619
_cell_angle_alpha 90.00
_cell_angle_beta 90.00
_cell_angle_gamma 90.00
_symmetry_space_group_name_H-M 'P m -3 n'
_symmetry_Int_Tables_number 223
_symmetry_space_group_name_Hall '-P 4n 2 3'
loop_
_atom_site_label
_atom_site_type_symbol
_atom_site_fract_x
_atom_site_fract_y
_atom_site_fract_z
_atom_site_occupancy
La1 La 0.000 0.000 0.000 1
Al1 Al 0.000 0.250 0.500 1
```

Values from the calculation:
uncorrected energy = -132.550 eV for the cell shown

---

Computed, not measured: Gd3Mn2C6 at its PBEsol-relaxed geometry at the SCAN level of DFT.

Cell and atoms, written as CIF:
```
data_Gd3Mn2C6
_chemical_formula_sum 'Gd6 Mn4 C12'
_cell_length_a 7.9899
_cell_length_b 7.9899
_cell_length_c 4.9980
_cell_angle_alpha 90.00
_cell_angle_beta 90.00
_cell_angle_gamma 120.00
_symmetry_space_group_name_H-M 'P 63/m'
_symmetry_Int_Tables_number 176
_symmetry_space_group_name_Hall '-P 6c'
loop_
_atom_site_label
_atom_site_type_symbol
_atom_site_fract_x
_atom_site_fract_y
_atom_site_fract_z
_atom_site_occupancy
Gd1 Gd 0.0674 0.3798 0.2500 1
Mn1 Mn 0.0000 0.0000 0.0000 1
Mn2 Mn 0.3333 0.6667 0.7500 1
C1 C 0.0398 0.2226 0.7500 1
C2 C 0.1363 0.4209 0.7500 1
```

Values from the calculation:
uncorrected energy = -553.431 eV for the cell shown

---

Computed, not measured: CoSiNi2 at its PBEsol-relaxed geometry at the SCAN level of DFT.

Cell and atoms, written as CIF:
```
data_CoSiNi2
_chemical_formula_sum 'Co2 Si2 Ni4'
_cell_length_a 4.828
_cell_length_b 6.823
_cell_length_c 2.540
_cell_angle_alpha 90.00
_cell_angle_beta 90.00
_cell_angle_gamma 90.00
_symmetry_space_group_name_H-M 'C m m m'
_symmetry_Int_Tables_number 65
_symmetry_space_group_name_Hall '-C 2 2'
loop_
_atom_site_label
_atom_site_type_symbol
_atom_site_fract_x
_atom_site_fract_y
_atom_site_fract_z
_atom_site_occupancy
Co1 Co 0.000 0.000 0.000 1
Si1 Si 0.000 0.500 0.000 1
Ni1 Ni 0.250 0.250 0.500 1
```

Values from the calculation:
uncorrected energy = -121.394 eV for the cell shown
formation energy without anion corrections = -24.85 kJ/mol of atoms

---

Computed, not measured: CaIr2Pt at its PBEsol-relaxed geometry at the SCAN level of DFT.

Cell and atoms, written as CIF:
```
data_CaIr2Pt
_chemical_formula_sum 'Ca2 Ir4 Pt2'
_cell_length_a 9.415
_cell_length_b 2.770
_cell_length_c 5.040
_cell_angle_alpha 90.00
_cell_angle_beta 99.08
_cell_angle_gamma 90.00
_symmetry_space_group_name_H-M 'C 1 2/m 1'
_symmetry_Int_Tables_number 12
_symmetry_space_group_name_Hall '-C 2y'
loop_
_atom_site_label
_atom_site_type_symbol
_atom_site_fract_x
_atom_site_fract_y
_atom_site_fract_z
_atom_site_occupancy
Ca1 Ca 0.000 0.000 0.000 1
Ir1 Ir 0.242 0.000 0.716 1
Pt1 Pt 0.000 0.500 0.500 1
```

Values from the calculation:
uncorrected energy = -445.096 eV for the cell shown
ΔE to the lowest computed polymorph = 45 meV/atom

---

Computed, not measured: YPt3 at its PBEsol-relaxed geometry at the SCAN level of DFT.

Cell and atoms, written as CIF:
```
data_YPt3
_chemical_formula_sum 'Y1 Pt3'
_cell_length_a 4.059
_cell_length_b 4.059
_cell_length_c 4.059
_cell_angle_alpha 90.00
_cell_angle_beta 90.00
_cell_angle_gamma 90.00
_symmetry_space_group_name_H-M 'P m -3 m'
_symmetry_Int_Tables_number 221
_symmetry_space_group_name_Hall '-P 4 2 3'
loop_
_atom_site_label
_atom_site_type_symbol
_atom_site_fract_x
_atom_site_fract_y
_atom_site_fract_z
_atom_site_occupancy
Y1 Y 0.000 0.000 0.000 1
Pt1 Pt 0.000 0.500 0.500 1
```

Values from the calculation:
uncorrected energy = -242.849 eV for the cell shown

---

Computed, not measured: ScCuSb2I at its PBEsol-relaxed geometry at the SCAN level of DFT.

Cell and atoms, written as CIF:
```
data_ScCuSb2I
_chemical_formula_sum 'Sc1 Cu1 Sb2 I1'
_cell_length_a 4.944
_cell_length_b 4.944
_cell_length_c 5.403
_cell_angle_alpha 90.00
_cell_angle_beta 90.00
_cell_angle_gamma 90.00
_symmetry_space_group_name_H-M 'P 4/m m m'
_symmetry_Int_Tables_number 123
_symmetry_space_group_name_Hall '-P 4 2'
loop_
_atom_site_label
_atom_site_type_symbol
_atom_site_fract_x
_atom_site_fract_y
_atom_site_fract_z
_atom_site_occupancy
Sc1 Sc 0.000 0.000 0.000 1
Cu1 Cu 0.500 0.500 0.500 1
Sb1 Sb 0.000 0.500 0.500 1
I1 I 0.500 0.500 0.000 1
```

Values from the calculation:
uncorrected energy = -139.250 eV for the cell shown
formation energy without anion corrections = 27.96 kJ/mol of atoms

---

Computed, not measured: Zr2AgH2 at its PBEsol-relaxed geometry at the SCAN level of DFT.

Cell and atoms, written as CIF:
```
data_Zr2AgH2
_chemical_formula_sum 'Zr4 Ag2 H4'
_cell_length_a 3.460
_cell_length_b 3.460
_cell_length_c 10.973
_cell_angle_alpha 90.00
_cell_angle_beta 90.00
_cell_angle_gamma 90.00
_symmetry_space_group_name_H-M 'I 4/m m m'
_symmetry_Int_Tables_number 139
_symmetry_space_group_name_Hall '-I 4 2'
loop_
_atom_site_label
_atom_site_type_symbol
_atom_site_fract_x
_atom_site_fract_y
_atom_site_fract_z
_atom_site_occupancy
Zr1 Zr 0.000 0.000 0.146 1
Ag1 Ag 0.000 0.000 0.500 1
H1 H 0.000 0.500 0.250 1
```

Values from the calculation:
uncorrected energy = -203.210 eV for the cell shown

---

Computed, not measured: ZrAg2Hg at its PBEsol-relaxed geometry at the SCAN level of DFT.

Cell and atoms, written as CIF:
```
data_ZrAg2Hg
_chemical_formula_sum 'Zr1 Ag2 Hg1'
_cell_length_a 2.999
_cell_length_b 2.999
_cell_length_c 8.351
_cell_angle_alpha 90.00
_cell_angle_beta 90.00
_cell_angle_gamma 90.00
_symmetry_space_group_name_H-M 'P 4/m m m'
_symmetry_Int_Tables_number 123
_symmetry_space_group_name_Hall '-P 4 2'
loop_
_atom_site_label
_atom_site_type_symbol
_atom_site_fract_x
_atom_site_fract_y
_atom_site_fract_z
_atom_site_occupancy
Zr1 Zr 0.000 0.000 0.000 1
Ag1 Ag 0.500 0.500 0.252 1
Hg1 Hg 0.000 0.000 0.500 1
```

Values from the calculation:
uncorrected energy = -161.695 eV for the cell shown

---

Computed, not measured: TlCo16Sb48 at its PBEsol-relaxed geometry at the SCAN level of DFT.

Cell and atoms, written as CIF:
```
data_TlCo16Sb48
_chemical_formula_sum 'Tl2 Co32 Sb96'
_cell_length_a 12.733
_cell_length_b 9.007
_cell_length_c 25.456
_cell_angle_alpha 90.00
_cell_angle_beta 90.00
_cell_angle_gamma 90.00
_symmetry_space_group_name_H-M 'C 1 2/m 1'
_symmetry_Int_Tables_number 12
_symmetry_space_group_name_Hall '-C 2y'
loop_
_atom_site_label
_atom_site_type_symbol
_atom_site_fract_x
_atom_site_fract_y
_atom_site_fract_z
_atom_site_occupancy
Tl1 Tl 0.000 0.000 0.000 1
Co1 Co 0.000 0.250 0.126 1
Co2 Co 0.000 0.250 0.375 1
Co3 Co 0.250 0.250 0.000 1
Co4 Co 0.250 0.250 0.251 1
Co5 Co 0.250 0.250 0.500 1
Sb1 Sb 0.080 0.167 0.291 1
Sb2 Sb 0.080 0.167 0.789 1
Sb3 Sb 0.080 0.333 0.540 1
Sb4 Sb 0.080 0.335 0.041 1
Sb5 Sb 0.085 0.500 0.872 1
Sb6 Sb 0.086 0.000 0.623 1
Sb7 Sb 0.086 0.500 0.374 1
Sb8 Sb 0.088 0.000 0.126 1
Sb9 Sb 0.165 0.340 0.168 1
Sb10 Sb 0.166 0.160 0.417 1
Sb11 Sb 0.167 0.340 0.666 1
Sb12 Sb 0.169 0.161 0.915 1
Sb13 Sb 0.244 0.500 0.792 1
Sb14 Sb 0.246 0.000 0.543 1
Sb15 Sb 0.247 0.500 0.294 1
Sb16 Sb 0.250 0.000 0.044 1
```

Values from the calculation:
uncorrected energy = -4295.884 eV for the cell shown
formation energy without anion corrections = -15.14 kJ/mol of atoms

---

Computed, not measured: CaHfIn2 at its PBEsol-relaxed geometry at the SCAN level of DFT.

Cell and atoms, written as CIF:
```
data_CaHfIn2
_chemical_formula_sum 'Ca4 Hf4 In8'
_cell_length_a 7.196
_cell_length_b 7.196
_cell_length_c 7.196
_cell_angle_alpha 90.00
_cell_angle_beta 90.00
_cell_angle_gamma 90.00
_symmetry_space_group_name_H-M 'F m -3 m'
_symmetry_Int_Tables_number 225
_symmetry_space_group_name_Hall '-F 4 2 3'
loop_
_atom_site_label
_atom_site_type_symbol
_atom_site_fract_x
_atom_site_fract_y
_atom_site_fract_z
_atom_site_occupancy
Ca1 Ca 0.000 0.000 0.000 1
Hf1 Hf 0.000 0.000 0.500 1
In1 In 0.250 0.250 0.250 1
```

Values from the calculation:
uncorrected energy = -559.738 eV for the cell shown